VASP calculation (PBE-GGA) on DyMg after structural relaxation.

a = 6.722 Å, b = 6.014 Å, c = 5.455 Å
α = 90.00°, β = 90.00°, γ = 90.00°
Element x y z (fractional)
Dy: 0.138 0.077 0.250
Dy: 0.138 0.423 0.750
Dy: 0.862 0.577 0.250
Dy: 0.862 0.923 0.750
Mg: 0.369 0.592 0.250
Mg: 0.369 0.908 0.750
Mg: 0.631 0.092 0.250
Mg: 0.631 0.408 0.750

Values from the calculation:
The calculation puts the total energy at -3.0722 eV/atom.